This record from the Open Quantum Materials Database describes a relaxed LaCuSn2Ir crystal. The functional is PBE.

Final energy ... -0.2079 Ha/atom
M_tot ... 0.0 μB/f.u.
Relative energy among the computed polymorphs ... 0 meV per atom

Cell and atoms, written as extended XYZ:
```
10
Lattice="4.5829 0.0000 0.0000 0.0000 4.5377 0.0000 -0.2530 0.0000 10.7018" Properties=species:S:1:pos:R:3 pbc="T T T"
Cu 0.8955 1.1344 0.0030
Cu 3.4344 3.4033 10.6988
Ir 3.3163 1.1344 3.9451
Ir 1.0136 3.4033 6.7567
La 1.0046 3.4033 2.6314
La 3.3253 1.1344 8.0704
Sn 3.2159 1.1344 1.3273
Sn 1.0224 1.1344 5.3412
Sn 3.3074 3.4033 5.3606
Sn 1.1139 3.4033 9.3745
```